## BaPbCl2 (PBE)

Data for BaPbCl2 after structural relaxation.

abc: 4.368 4.377 7.301
angles: 90.00 90.00 90.00
Positions (direct):
Pb 0.000 0.000 0.504
Ba 0.500 0.500 0.842
Cl 0.000 0.000 0.912
Cl 0.500 0.500 0.242

The relative energy among the computed polymorphs is 0.624 eV/f.u. Its space group is P4mm (99).